[1]
Be2NbCrAs | PBE | optimized geometry

```
Be2NbCrAs
1.0
4.378 0.000 0.000
0.000 4.378 0.000
0.000 0.000 4.798
Be Nb Cr As
2 1 1 1
Cartesian
0.000 2.189 0.000
2.189 0.000 0.000
0.000 0.000 0.000
2.189 2.189 2.399
0.000 0.000 2.399
```

Output
- space group = P4/mmm (123)
- D(E_F) (states/eV per atom) = 0.7659
- formation energy from the elements (eV/atom) = 1.475
- DFT total energy (eV per atom) = -4.884



[2]
TiPdBr2 | PBE | optimized geometry

```
TiPdBr2
1.0
-2.503 2.503 7.713
2.503 -2.503 7.713
2.503 2.503 -7.713
Ti Pd Br
2 2 4
Cartesian
0.000 0.000 0.000
0.000 2.503 3.857
2.503 0.000 3.857
0.000 0.000 7.713
3.754 1.213 -1.928
1.213 1.251 1.928
-1.251 1.290 5.785
1.290 1.251 9.641
```

Output
- space group = I-42d (122)
- formation energy without anion corrections (kJ/mol of atoms) = -17
- D(E_F) (states/eV per atom) = 0.4668
- DFT total energy (eV per atom) = -4.284



[3]
HfNbCr | PBE | optimized geometry

```
HfNbCr
1.0
-2.612 2.739 3.664
2.612 -2.739 3.664
2.612 2.739 -3.664
Hf Nb Cr
2 2 2
Cartesian
0.000 1.369 0.882
2.612 1.369 2.782
2.612 0.000 0.000
0.000 0.000 3.664
1.306 1.369 -1.832
1.306 -1.369 1.832
```

Output
- space group = Imma (74)
- D(E_F) (states/eV per atom) = 1.3805
- formation energy from the elements (eV/atom) = 0.007
- DFT total energy (eV per atom) = -9.875